Material: Na2CaFeO4
Method: DFT, GGA+U
State: relaxed

abc: 5.3935 5.3935 5.3935
angles: 94.94 117.19 117.19
Closest atoms and distances in Å follow each position.
Fractional coordinates of all 8 atoms:
Na 0.5000 0.7500 0.2500  4 O 2.32
Na 0.0000 0.0000 0.0000  4 O 2.41
Ca 0.5000 0.2500 0.7500  4 O 2.26
Fe 0.0000 0.5000 0.5000  4 O 1.83
O 0.5783 0.3841 0.3925  1 Fe 1.83
O 0.0084 0.1942 0.6159  1 Fe 1.83
O 0.9916 0.6075 0.1858  1 Fe 1.83
O 0.4217 0.8142 0.8058  1 Fe 1.83

SG: I-4
total magnetization: 3.96 μB per formula unit
uncorrected energy: -43.9 eV for the cell shown

***

Material: Na3Ca2FeO6
Method: DFT, GGA+U
State: relaxed

abc: 5.7050 5.7050 5.7876
angles: 99.44 99.44 120.18
Closest atoms and distances in Å follow each position.
Fractional coordinates of all 12 atoms:
Na 0.1541 0.8459 0.5000  4 O 2.34-2.37
Na 0.8459 0.1541 0.5000  4 O 2.34-2.37
Na 0.5000 0.5000 0.5000  4 O 2.38
Ca 0.3324 0.6676 0.0000  6 O 2.33-2.36
Ca 0.6676 0.3324 0.0000  6 O 2.33-2.36
Fe 0.0000 0.0000 0.0000  6 O 1.94-1.98
O 0.9311 0.6465 0.7901  1 Fe 1.98
O 0.7825 0.7825 0.1981  1 Fe 1.94
O 0.0689 0.3535 0.2099  1 Fe 1.98
O 0.6465 0.9311 0.7901  1 Fe 1.98
O 0.2175 0.2175 0.8019  1 Fe 1.94
O 0.3535 0.0689 0.2099  1 Fe 1.98

SG: C2/m
total magnetization: 2.99 μB per formula unit
uncorrected energy: -65.3 eV for the cell shown

***

- What is the total magnetization in the second record?
  2.99 μB per formula unit